Model 1:
Below is CeTmSc after structural relaxation, with properties calculated at the PBE level.

a = 5.4769 Å, b = 6.6503 Å, c = 9.2460 Å
α = 90.00°, β = 90.00°, γ = 90.00°
Last column: nearest neighbours and their distance in Å.
Space group Immm (No. 71)
Asymmetric unit:
Ce  0.0000  0.0000  0.1468  1 Ce 2.71
Tm  0.0000  0.2460  0.5000  2 Tm 3.27-3.38, 6 Ce 3.49-3.65, 6 Sc 3.53-3.55
Sc  0.0000  0.5000  0.1629  1 Sc 3.01, 4 Ce 3.25-3.33

Summary:
Total moment in μB/f.u.: 0.63

Model 2:
Below is CeTmSc after structural relaxation, with properties calculated at the PBE level.

a = 3.3985 Å, b = 3.3985 Å, c = 14.4657 Å
α = 90.00°, β = 90.00°, γ = 90.00°
Last column: nearest neighbours and their distance in Å.
Space group I4mm (No. 107)
Asymmetric unit:
Ce  0.0000  0.0000  0.0000  4 Sc 3.34, 4 Ce 3.40, 4 Tm 3.46
Tm  0.0000  0.0000  0.6719  4 Tm 3.40, 4 Sc 3.42, 4 Ce 3.46
Sc  0.0000  0.0000  0.3397  4 Ce 3.34, 4 Sc 3.40, 4 Tm 3.42

Summary:
Total moment in μB/f.u.: 0.61

Model 3:
Below is CeTmSc after structural relaxation, with properties calculated at the PBE level.

a = 3.3981 Å, b = 3.3981 Å, c = 8.2539 Å
α = 90.00°, β = 90.00°, γ = 120.00°
Last column: nearest neighbours and their distance in Å.
Space group P3m1 (No. 156)
Asymmetric unit:
Ce  0.0000  0.0000  0.0000  3 Sc 3.31, 6 Ce 3.40, 3 Tm 3.46
Tm  0.6667  0.3333  0.3450  3 Sc 3.37, 6 Tm 3.40, 3 Ce 3.46
Sc  0.3333  0.6667  0.6769  3 Ce 3.31, 3 Tm 3.37, 6 Sc 3.40

Summary:
Total moment in μB/f.u.: 0.41

Model 4:
Below is CeTmSc after structural relaxation, with properties calculated at the PBE level.

a = 6.3121 Å, b = 6.5748 Å, c = 8.1792 Å
α = 90.00°, β = 90.00°, γ = 90.00°
Last column: nearest neighbours and their distance in Å.
Space group I2_12_12_1 (No. 24)
Asymmetric unit:
Ce  0.2500  0.1674  0.0000  4 Tm 3.14-3.21, 2 Sc 3.28, 2 Ce 3.34
Tm  0.1012  0.5000  0.7500  4 Ce 3.14-3.21, 4 Sc 3.23-3.40
Sc  0.0000  0.2500  0.3949  4 Tm 3.23-3.40, 2 Ce 3.28, 2 Sc 3.59

Summary:
Total moment in μB/f.u.: 0.64

Which structure is most stable, and how do the rest compare? From most to least stable: model 3, model 2, model 1, model 4.

Model 1:
Below is CeYSc2 after structural relaxation, with properties calculated at the PBE level.

a = 4.9206 Å, b = 4.9206 Å, c = 4.5551 Å
α = 90.00°, β = 90.00°, γ = 90.00°
Last column: nearest neighbours and their distance in Å.
Space group P4/mmm (No. 123)
Asymmetric unit:
Ce  0.0000  0.0000  0.0000  8 Sc 3.35, 4 Y 3.48
Y  0.5000  0.5000  0.0000  8 Sc 3.35, 4 Ce 3.48
Sc  0.0000  0.5000  0.5000  4 Ce 3.35, 4 Y 3.35, 4 Sc 3.48

Summary:
Total moment in μB/f.u.: 0.24

Model 2:
Below is CeYSc2 after structural relaxation, with properties calculated at the PBE level.

a = 7.6402 Å, b = 7.6402 Å, c = 7.6402 Å
α = 90.00°, β = 90.00°, γ = 90.00°
Last column: nearest neighbours and their distance in Å.
Space group Fm-3m (No. 225)
Asymmetric unit:
Ce  0.0000  0.0000  0.0000  8 Sc 3.31
Y  0.0000  0.0000  0.5000  8 Sc 3.31
Sc  0.2500  0.2500  0.2500  4 Y 3.31, 4 Ce 3.31

Summary:
Total moment in μB/f.u.: 0.27

Model 3:
Below is CeYSc2 after structural relaxation, with properties calculated at the PBE level.

a = 3.4700 Å, b = 3.4700 Å, c = 9.1382 Å
α = 90.00°, β = 90.00°, γ = 90.00°
Last column: nearest neighbours and their distance in Å.
Space group P4/mmm (No. 123)
Asymmetric unit:
Ce  0.0000  0.0000  0.0000  8 Sc 3.29, 4 Ce 3.47
Y  0.0000  0.0000  0.5000  8 Sc 3.42, 4 Y 3.47
Sc  0.5000  0.5000  0.2401  4 Ce 3.29, 4 Y 3.42, 4 Sc 3.47

Summary:
Total moment in μB/f.u.: 0.46

Which structure is most stable, and how do the rest compare? From most to least stable: model 3, model 1, model 2.

Model 1:
Below is CeSc2Zn after structural relaxation, with properties calculated at the PBE level.

a = 3.2968 Å, b = 3.2968 Å, c = 29.4211 Å
α = 90.00°, β = 90.00°, γ = 120.00°
Last column: nearest neighbours and their distance in Å.
Space group R-3m (No. 166, hexagonal axes)
Asymmetric unit:
Ce  0.0000  0.0000  0.0000  6 Ce 3.30, 6 Sc 3.33
Sc  0.0000  0.0000  0.2406  3 Zn 2.89
Zn  0.0000  0.0000  0.5000  6 Sc 2.89

Summary:
Total moment in μB/f.u.: 0.22

Model 2:
Below is CeSc2Zn after structural relaxation, with properties calculated at the PBE level.

a = 3.3228 Å, b = 3.3228 Å, c = 8.1490 Å
α = 90.00°, β = 90.00°, γ = 90.00°
Last column: nearest neighbours and their distance in Å.
Space group P4/mmm (No. 123)
Asymmetric unit:
Ce  0.0000  0.0000  0.0000  4 Ce 3.32, 8 Sc 3.35
Sc  0.5000  0.5000  0.2927  4 Zn 2.89
Zn  0.0000  0.0000  0.5000  8 Sc 2.89

Summary:
Total moment in μB/f.u.: 0.36

Which structure is most stable, and how do the rest compare? From most to least stable: model 2, model 1.

Model 1:
Below is CeSc2Zn after structural relaxation, with properties calculated at the PBE level.

a = 4.5438 Å, b = 4.5438 Å, c = 4.4570 Å
α = 90.00°, β = 90.00°, γ = 90.00°
Last column: nearest neighbours and their distance in Å.
Space group P4/mmm (No. 123)
Asymmetric unit:
Ce  0.0000  0.0000  0.0000  8 Sc 3.18, 4 Zn 3.21
Sc  0.0000  0.5000  0.5000  4 Zn 3.18, 4 Ce 3.18, 4 Sc 3.21
Zn  0.5000  0.5000  0.0000  8 Sc 3.18, 4 Ce 3.21

Summary:
Total moment in μB/f.u.: 1.65

Model 2:
Below is CeSc2Zn after structural relaxation, with properties calculated at the PBE level.

a = 3.2884 Å, b = 3.2884 Å, c = 29.8731 Å
α = 90.00°, β = 90.00°, γ = 120.00°
Last column: nearest neighbours and their distance in Å.
Space group R3m (No. 160, hexagonal axes)
Asymmetric unit:
Ce  0.0000  0.0000  0.0000  6 Ce 3.29, 6 Sc 3.38-3.41
Sc  0.0000  0.0000  0.2399  3 Zn 2.87
Sc  0.0000  0.0000  0.4283  3 Zn 2.89
Zn  0.0000  0.0000  0.8344  6 Sc 2.87-2.89

Summary:
Total moment in μB/f.u.: 0.58

Which structure is most stable, and how do the rest compare? From most to least stable: model 2, model 1.

Model 1:
Below is CeZr2Sc6 after structural relaxation, with properties calculated at the PBE level.

a = 26.3777 Å, b = 6.3699 Å, c = 5.5037 Å
α = 90.00°, β = 90.10°, γ = 90.00°
Last column: nearest neighbours and their distance in Å.
Space group C2/c (No. 15)
Asymmetric unit:
Ce  0.0000  0.2176  0.2500  2 Sc 2.93
Zr  0.1976  0.3806  0.0783  7 Sc 3.02-3.27, 3 Zr 3.14-3.34
Sc  0.0883  0.3714  0.7552  7 Sc 3.20-3.52, 2 Zr 3.38-3.43, 1 Ce 3.50
Sc  0.1087  0.1256  0.2568  1 Ce 2.93, 1 Zr 3.02, 8 Sc 3.09-3.25
Sc  0.2031  0.1259  0.5941  5 Sc 3.09-3.19, 6 Zr 3.12-3.27

Summary:
Total moment in μB/f.u.: 1.70

Model 2:
Below is CeZr2Sc6 after structural relaxation, with properties calculated at the PBE level.

a = 15.7044 Å, b = 3.1268 Å, c = 10.9164 Å
α = 90.00°, β = 125.03°, γ = 90.00°
Last column: nearest neighbours and their distance in Å.
Space group C2/m (No. 12)
Asymmetric unit:
Ce  0.0000  0.0000  0.0000  4 Sc 3.08-3.21, 2 Ce 3.13, 4 Zr 3.39
Zr  0.1740  0.5000  0.3273  7 Sc 3.11-3.44, 4 Zr 3.13-3.47, 2 Ce 3.39
Sc  0.0469  0.0000  0.7497  9 Sc 3.13-3.34, 1 Ce 3.21, 2 Zr 3.44
Sc  0.1142  0.5000  0.5536  8 Sc 2.96-3.28, 3 Zr 3.11-3.20
Sc  0.2313  0.0000  0.1174  5 Sc 2.96-3.30, 1 Ce 3.08, 2 Zr 3.30

Summary:
Total moment in μB/f.u.: 0.00

Which structure is most stable, and how do the rest compare? From most to least stable: model 2, model 1.

Model 1:
Below is CeZrSc after structural relaxation, with properties calculated at the PBE level.

a = 3.2809 Å, b = 3.2809 Å, c = 47.9684 Å
α = 90.00°, β = 90.00°, γ = 120.00°
Last column: nearest neighbours and their distance in Å.
Space group R-3m (No. 166, hexagonal axes)
Asymmetric unit:
Ce  0.0000  0.0000  0.1384  9 Ce 3.28-3.31, 3 Sc 3.38
Zr  0.0000  0.0000  0.3070  9 Zr 3.15-3.28, 3 Sc 3.20
Sc  0.0000  0.0000  0.4135  3 Zr 3.20, 6 Sc 3.28, 3 Ce 3.38

Summary:
Total moment in μB/f.u.: 0.00

Model 2:
Below is CeZrSc after structural relaxation, with properties calculated at the PBE level.

a = 5.6672 Å, b = 3.2657 Å, c = 8.0835 Å
α = 90.00°, β = 90.03°, γ = 90.00°
Last column: nearest neighbours and their distance in Å.
Space group Cm (No. 8)
Asymmetric unit:
Ce  0.0000  0.0000  0.0000  6 Ce 3.27, 3 Zr 3.29-3.30, 3 Sc 3.39
Zr  0.3349  0.0000  0.6665  3 Sc 3.19, 6 Zr 3.27, 3 Ce 3.29-3.30
Sc  0.1681  0.5000  0.3488  3 Zr 3.19, 6 Sc 3.27, 3 Ce 3.39

Summary:
Total moment in μB/f.u.: 0.00

Which structure is most stable, and how do the rest compare? From most to least stable: model 1, model 2.